BaPt2S3 | meta-GGA SCAN | PBEsol geometry

The structure in POSCAR format:
```
BaPt2S3
1.0
6.755 0.000 0.000
0.000 6.755 0.000
0.000 0.000 12.284
Ba Pt S
4 8 12
direct
0.173 0.173 0.000 Ba
0.327 0.673 0.250 Ba
0.673 0.327 0.750 Ba
0.827 0.827 0.500 Ba
0.004 0.250 0.375 Pt
0.250 0.004 0.625 Pt
0.250 0.504 0.625 Pt
0.496 0.750 0.875 Pt
0.504 0.250 0.375 Pt
0.750 0.496 0.125 Pt
0.750 0.996 0.125 Pt
0.996 0.750 0.875 Pt
0.157 0.254 0.745 S
0.246 0.657 0.995 S
0.246 0.754 0.750 S
0.254 0.157 0.255 S
0.254 0.254 0.500 S
0.343 0.754 0.505 S
0.657 0.246 0.005 S
0.746 0.746 0.000 S
0.746 0.843 0.755 S
0.754 0.246 0.250 S
0.754 0.343 0.495 S
0.843 0.746 0.245 S
```

Space-group type: P4_12_12, No. 92
Formation energy from raw total energies (eV/atom): -1.18